1.
Computed, not measured: NaZn3Pd after structural relaxation at the PBE level of DFT.

Values from the calculation:
As for the space group: Pnma (62). As for the formation energy: -0.1924 eV per atom.

abc: 8.315 4.180 11.120
angles: 90.00 90.00 90.00
Atoms (fractional coordinates):
Na: 0.172 0.250 0.029
Na: 0.328 0.750 0.529
Na: 0.672 0.250 0.471
Na: 0.828 0.750 0.971
Zn: 0.034 0.250 0.588
Zn: 0.078 0.750 0.759
Zn: 0.221 0.750 0.249
Zn: 0.279 0.250 0.749
Zn: 0.422 0.250 0.259
Zn: 0.466 0.750 0.088
Zn: 0.534 0.250 0.912
Zn: 0.578 0.750 0.741
Zn: 0.721 0.750 0.251
Zn: 0.779 0.250 0.751
Zn: 0.922 0.250 0.241
Zn: 0.966 0.750 0.412
Pd: 0.161 0.250 0.376
Pd: 0.339 0.750 0.876
Pd: 0.661 0.250 0.124
Pd: 0.839 0.750 0.624

=====

2.
Computed, not measured: HfPaNbC3 after structural relaxation at the PBE level of DFT.

Values from the calculation:
As for the space group: P2_1/m (11). As for the formation energy: -0.5771 eV per atom.

abc: 5.746 3.344 8.657
angles: 90.00 102.66 90.00
Atoms (fractional coordinates):
Hf: 0.231 0.250 0.451
Hf: 0.769 0.750 0.549
Pa: 0.351 0.750 0.806
Pa: 0.649 0.250 0.194
Nb: 0.132 0.750 0.137
Nb: 0.868 0.250 0.863
C: 0.047 0.250 0.661
C: 0.252 0.250 0.009
C: 0.442 0.750 0.333
C: 0.558 0.250 0.667
C: 0.748 0.750 0.991
C: 0.953 0.750 0.339

=====

3.
Computed, not measured: AlCrIr4 after structural relaxation at the PBE level of DFT.

Values from the calculation:
As for the space group: F-43m (216). As for the formation energy: 0.2303 eV per atom.

abc: 5.151 5.151 5.151
angles: 60.00 60.00 60.00
Atoms (fractional coordinates):
Al: 0.000 0.000 0.000
Cr: 0.750 0.750 0.750
Ir: 0.375 0.375 0.375
Ir: 0.375 0.375 0.875
Ir: 0.375 0.875 0.375
Ir: 0.875 0.375 0.375

=====

4.
Computed, not measured: LiErThRu after structural relaxation at the PBE level of DFT.

Values from the calculation:
As for the space group: F-43m (216). As for the formation energy: -0.2420 eV per atom.

abc: 4.988 4.988 4.988
angles: 60.00 60.00 60.00
Atoms (fractional coordinates):
Li: 0.000 0.000 0.000
Er: 0.250 0.250 0.250
Th: 0.750 0.750 0.750
Ru: 0.500 0.500 0.500

=====

5.
Computed, not measured: KNaGa2 after structural relaxation at the PBE level of DFT.

Values from the calculation:
As for the space group: Fm-3m (225). As for the formation energy: 0.1930 eV per atom.

abc: 5.439 5.439 5.439
angles: 60.00 60.00 60.00
Atoms (fractional coordinates):
K: 0.000 0.000 0.000
Na: 0.500 0.500 0.500
Ga: 0.250 0.250 0.250
Ga: 0.750 0.750 0.750

=====

6.
Computed, not measured: Sm2MgNi12P3 after structural relaxation at the PBE level of DFT.

Values from the calculation:
As for the space group: R-3m (166). As for the formation energy: -0.1512 eV per atom.

abc: 6.301 6.301 6.301
angles: 85.16 85.16 85.16
Atoms (fractional coordinates):
Sm: 0.154 0.154 0.154
Sm: 0.846 0.846 0.846
Mg: 0.500 0.500 0.500
Ni: 0.124 0.124 0.603
Ni: 0.124 0.603 0.124
Ni: 0.187 0.679 0.679
Ni: 0.321 0.321 0.813
Ni: 0.321 0.813 0.321
Ni: 0.397 0.876 0.876
Ni: 0.603 0.124 0.124
Ni: 0.679 0.187 0.679
Ni: 0.679 0.679 0.187
Ni: 0.813 0.321 0.321
Ni: 0.876 0.397 0.876
Ni: 0.876 0.876 0.397
P: 0.000 0.500 0.500
P: 0.500 0.000 0.500
P: 0.500 0.500 0.000

=====

7.
Computed, not measured: CrGa3Pt after structural relaxation at the PBE level of DFT.

Values from the calculation:
As for the space group: Pm-3m (221). As for the formation energy: 0.2646 eV per atom.

abc: 4.833 4.833 4.833
angles: 90.00 90.00 90.00
Atoms (fractional coordinates):
Cr: 0.000 0.000 0.000
Ga: 0.000 0.500 0.500
Ga: 0.500 0.000 0.500
Ga: 0.500 0.500 0.000
Pt: 0.500 0.500 0.500

=====

8.
Computed, not measured: LuPuAg2 after structural relaxation at the PBE level of DFT.

Values from the calculation:
As for the space group: Fm-3m (225). As for the formation energy: -0.0642 eV per atom.

abc: 5.133 5.133 5.133
angles: 60.00 60.00 60.00
Atoms (fractional coordinates):
Lu: 0.000 0.000 0.000
Pu: 0.500 0.500 0.500
Ag: 0.250 0.250 0.250
Ag: 0.750 0.750 0.750

=====

9.
Computed, not measured: AlPbCl2 after structural relaxation at the PBE level of DFT.

Values from the calculation:
As for the space group: R3m (160).

abc: 9.993 9.993 9.993
angles: 20.43 20.43 20.43
Atoms (fractional coordinates):
Al: 0.000 0.000 0.000
Pb: 0.762 0.762 0.762
Cl: 0.279 0.279 0.279
Cl: 0.498 0.498 0.498

=====

10.
Computed, not measured: TbY5Ho2Er after structural relaxation at the PBE level of DFT.

Values from the calculation:
As for the space group: Cmc2_1 (36). As for the formation energy: 0.1550 eV per atom.

abc: 10.387 10.387 10.515
angles: 90.00 90.00 148.75
Atoms (fractional coordinates):
Tb: 0.197 0.803 0.500
Tb: 0.803 0.197 0.000
Y: 0.017 0.983 0.509
Y: 0.279 0.721 0.801
Y: 0.301 0.699 0.192
Y: 0.386 0.614 0.510
Y: 0.480 0.520 0.225
Y: 0.520 0.480 0.725
Y: 0.614 0.386 0.010
Y: 0.699 0.301 0.692
Y: 0.721 0.279 0.301
Y: 0.983 0.017 0.009
Ho: 0.111 0.889 0.224
Ho: 0.112 0.888 0.804
Ho: 0.888 0.112 0.304
Ho: 0.889 0.111 0.724
Er: 0.412 0.588 0.941
Er: 0.588 0.412 0.441

=====

11.
Computed, not measured: Cd2SnOs after structural relaxation at the PBE level of DFT.

Values from the calculation:
As for the space group: I-42d (122). As for the formation energy: 0.6247 eV per atom.

abc: 6.763 6.763 6.763
angles: 98.41 98.41 135.02
Atoms (fractional coordinates):
Cd: 0.035 0.625 0.910
Cd: 0.375 0.285 0.410
Cd: 0.715 0.125 0.090
Cd: 0.875 0.965 0.590
Sn: 0.250 0.750 0.500
Sn: 0.500 0.500 0.000
Os: 0.000 0.000 0.000
Os: 0.750 0.250 0.500

=====

12.
Computed, not measured: PaTlI2O8 after structural relaxation at the PBE level of DFT.

Values from the calculation:
As for the space group: P-3m1 (164).

abc: 6.532 6.532 7.693
angles: 90.00 90.00 120.00
Atoms (fractional coordinates):
Pa: 0.000 0.000 0.000
Tl: 0.000 0.000 0.500
I: 0.333 0.667 0.816
I: 0.667 0.333 0.184
O: 0.156 0.311 0.833
O: 0.156 0.844 0.833
O: 0.311 0.156 0.167
O: 0.333 0.667 0.585
O: 0.667 0.333 0.415
O: 0.689 0.844 0.833
O: 0.844 0.156 0.167
O: 0.844 0.689 0.167

=====

13.
Computed, not measured: BeCrAs3 after structural relaxation at the PBE level of DFT.

Values from the calculation:
As for the space group: Pm-3m (221). As for the formation energy: 0.7695 eV per atom.

abc: 4.634 4.634 4.634
angles: 90.00 90.00 90.00
Atoms (fractional coordinates):
Be: 0.000 0.000 0.000
Cr: 0.500 0.500 0.500
As: 0.000 0.500 0.500
As: 0.500 0.000 0.500
As: 0.500 0.500 0.000

=====

14.
Computed, not measured: Er3P after structural relaxation at the PBE level of DFT.

Values from the calculation:
As for the space group: I4/mmm (139). As for the formation energy: -0.3252 eV per atom.

abc: 5.923 5.923 5.923
angles: 136.80 136.80 62.75
Atoms (fractional coordinates):
Er: 0.000 0.000 0.000
Er: 0.250 0.750 0.500
Er: 0.750 0.250 0.500
P: 0.500 0.500 0.000

=====

15.
Computed, not measured: SrLiTm2Au4 after structural relaxation at the PBE level of DFT.

Values from the calculation:
As for the space group: R-3m (166). As for the formation energy: -0.7245 eV per atom.

abc: 9.377 9.377 9.377
angles: 30.57 30.57 30.57
Atoms (fractional coordinates):
Sr: 0.000 0.000 0.000
Li: 0.500 0.500 0.500
Tm: 0.231 0.231 0.231
Tm: 0.769 0.769 0.769
Au: 0.122 0.122 0.122
Au: 0.401 0.401 0.401
Au: 0.599 0.599 0.599
Au: 0.878 0.878 0.878

=====

16.
Computed, not measured: SrCd after structural relaxation at the PBE level of DFT.

Values from the calculation:
As for the space group: P4_2/mnm (136). As for the formation energy: -0.1670 eV per atom.

abc: 6.714 6.714 6.755
angles: 90.00 90.00 90.00
Atoms (fractional coordinates):
Sr: 0.205 0.205 0.000
Sr: 0.295 0.705 0.500
Sr: 0.705 0.295 0.500
Sr: 0.795 0.795 0.000
Cd: 0.191 0.191 0.500
Cd: 0.309 0.691 0.000
Cd: 0.691 0.309 0.000
Cd: 0.809 0.809 0.500

=====

17.
Computed, not measured: Ba2LaOs after structural relaxation at the PBE level of DFT.

Values from the calculation:
As for the space group: R-3m (166). As for the formation energy: 0.8392 eV per atom.

abc: 11.804 11.804 11.804
angles: 18.95 18.95 18.95
Atoms (fractional coordinates):
Ba: 0.228 0.228 0.228
Ba: 0.772 0.772 0.772
La: 0.000 0.000 0.000
Os: 0.500 0.500 0.500

=====

18.
Computed, not measured: NiPt8Rh6 after structural relaxation at the PBE level of DFT.

Values from the calculation:
As for the space group: P-3 (147). As for the formation energy: 0.3002 eV per atom.

abc: 8.888 8.888 3.544
angles: 90.00 90.00 120.00
Atoms (fractional coordinates):
Ni: 0.000 0.000 0.000
Pt: 0.049 0.279 0.263
Pt: 0.230 0.951 0.263
Pt: 0.279 0.230 0.737
Pt: 0.333 0.667 0.747
Pt: 0.667 0.333 0.253
Pt: 0.721 0.770 0.263
Pt: 0.770 0.049 0.737
Pt: 0.951 0.721 0.737
Rh: 0.096 0.611 0.247
Rh: 0.389 0.485 0.247
Rh: 0.485 0.096 0.753
Rh: 0.515 0.904 0.247
Rh: 0.611 0.515 0.753
Rh: 0.904 0.389 0.753

=====

19.
Computed, not measured: NaCdI3 after structural relaxation at the PBE level of DFT.

Values from the calculation:
As for the space group: Pm-3m (221).

abc: 5.927 5.927 5.927
angles: 90.00 90.00 90.00
Atoms (fractional coordinates):
Na: 0.000 0.000 0.000
Cd: 0.500 0.500 0.500
I: 0.000 0.000 0.500
I: 0.000 0.500 0.000
I: 0.500 0.000 0.000

=====

20.
Computed, not measured: CeBeCoSi2 after structural relaxation at the PBE level of DFT.

Values from the calculation:
As for the space group: I-4m2 (119).

abc: 5.576 5.576 5.576
angles: 138.57 138.57 60.03
Atoms (fractional coordinates):
Ce: 0.000 0.000 0.000
Be: 0.250 0.750 0.500
Co: 0.750 0.250 0.500
Si: 0.372 0.372 0.000
Si: 0.628 0.628 0.000

=====

| no. | DOS(E_F) (states/eV/cell) | total DFT energy (no corrections) (eV/atom) |
| --- | --- | --- |
| 1 | 5.0 | -2.259 |
| 2 | 4.6 | -10.109 |
| 3 | 9.6 | -7.905 |
| 4 | 3.5 | -6.035 |
| 5 | 2.8 | -1.925 |
| 6 | 14.1 | -5.520 |
| 7 | 2.3 | -4.684 |
| 8 | 11.6 | -6.203 |
| 9 | 2.3 | -3.266 |
| 10 | 31.8 | -5.475 |
| 11 | 0.8 | -3.641 |
| 12 | 0.0 | -5.766 |
| 13 | 3.5 | -4.690 |
| 14 | 3.2 | -5.100 |
| 15 | 5.7 | -3.931 |
| 16 | 6.1 | -1.465 |
| 17 | 5.6 | -4.161 |
| 18 | 20.5 | -6.248 |
| 19 | 11.4 | -1.510 |
| 20 | 5.0 | -6.137 |